[1]
Material: TbZnRu
Method: DFT, GGA-PBE
State: relaxed

Calculated values
The value obtained for the formation energy is -0.356 eV/atom. The mass density is 9.89 g/cm3. The total magnetization comes out at 0.0002 μB per atom. The density of states at the Fermi level comes out at 1.09 states/eV per atom. The calculation puts the total energy at -5.416 eV/atom.

Unit cell a=5.355 b=5.355 c=5.355 alpha=120.50 beta=118.63 gamma=90.77
Fractional coordinates of all 6 atoms:
1 Tb 0.383 0.133 0.250
2 Tb 0.617 0.867 0.750
3 Zn 0.000 0.000 0.500
4 Zn 0.000 0.500 0.000
5 Ru 0.000 0.500 0.500
6 Ru 0.500 0.500 0.000

---

[2]
Material: La2TlBi2
Method: DFT, GGA-PBE
State: relaxed

Calculated values
Its energy above the most stable polymorph in this dataset is 0.0 meV/atom. The value obtained for the formation energy is -0.715 eV/atom. The mass density is 8.72 g/cm3. The total magnetization comes out at 0.0000 μB per atom. The density of states at the Fermi level comes out at 0.32 states/eV per atom. The calculation puts the total energy at -4.711 eV/atom.

Unit cell a=8.911 b=8.911 c=4.318 alpha=90.00 beta=90.00 gamma=90.00
Fractional coordinates of all 10 atoms:
1 La 0.155 0.345 0.000
2 La 0.345 0.845 0.000
3 La 0.655 0.155 0.000
4 La 0.845 0.655 0.000
5 Tl 0.000 0.000 0.500
6 Tl 0.500 0.500 0.500
7 Bi 0.148 0.648 0.500
8 Bi 0.352 0.148 0.500
9 Bi 0.648 0.852 0.500
10 Bi 0.852 0.352 0.500

---

[3]
Material: K3Sm3VTe8
Method: DFT, GGA-PBE
State: relaxed

Calculated values
The mass density is 4.77 g/cm3. The total magnetization comes out at 0.0839 μB per atom. The density of states at the Fermi level comes out at 0.54 states/eV per atom. The value obtained for the uncorrected formation energy is -1.1025 eV per atom. The calculation puts the total energy at -4.549 eV/atom.

Unit cell a=8.784 b=8.784 c=9.938 alpha=116.27 beta=116.27 gamma=59.94
Fractional coordinates of all 15 atoms:
1 K 0.000 0.000 0.000
2 K 0.000 0.500 0.000
3 K 0.500 0.000 0.000
4 Sm 0.000 0.500 0.500
5 Sm 0.500 0.000 0.500
6 Sm 0.500 0.500 0.500
7 V 0.000 0.000 0.500
8 Te 0.216 0.216 0.696
9 Te 0.216 0.763 0.696
10 Te 0.237 0.784 0.304
11 Te 0.262 0.262 0.285
12 Te 0.738 0.738 0.715
13 Te 0.763 0.216 0.696
14 Te 0.784 0.237 0.304
15 Te 0.784 0.784 0.304

---

What is the formula in the third record?
K3Sm3VTe8